The following is a DFT calculation (GGA-PBE) of a relaxed YMoN3 crystal.

Computed properties:
Calculated volume (A^3/atom): 12.8
Symmetry: No. 1
Uncorrected formation energy (kJ/mol of formula units): -340
DOS at the Fermi energy (states/eV per cell): 0.1

Geometry as POSCAR:
```
YMoN3
1.0
3.482 0.000 0.000
-0.217 5.877 0.000
-1.586 -1.812 6.268
Y Mo N
2 2 6
Direct
0.000 0.000 0.000
0.143 0.659 0.333
0.426 0.424 0.897
0.662 0.220 0.441
0.219 0.374 0.550
0.401 0.068 0.788
0.536 0.976 0.617
0.554 0.369 0.193
0.617 0.915 0.238
0.949 0.584 0.935
```